Version a
The following is a GGA-PBE calculation of crystalline AlSiNi4 at its relaxed geometry, from the Alexandria database.

Cell: 3.9910 3.9910 5.0331 Å, 90.00 90.00 120.00°
Space group P6/mmm (No. 191)
Symmetry-distinct sites (fractional):
Al  0.0000  0.0000  0.0000 x1
Si  0.0000  0.0000  0.5000 x1
Ni  0.3333  0.6667  0.2553 x4

Properties
As for the density of states at the Fermi level: 7.302 states/eV per cell.

***

Version b
The following is a GGA-PBE calculation of crystalline AlSiNi4 at its relaxed geometry, from the Alexandria database.

Cell: 7.9521 2.5484 6.8491 Å, 90.00 90.00 90.00°
Space group Pmma (No. 51)
Symmetry-distinct sites (fractional):
Al  0.2500  0.0000  0.1566 x2
Si  0.2500  0.0000  0.5431 x2
Ni  0.0000  0.0000  0.0000 x2
Ni  0.0397  0.5000  0.3324 x4
Ni  0.2500  0.5000  0.8306 x2

Properties
As for the density of states at the Fermi level: 9.950 states/eV per cell.

***

Version c
The following is a GGA-PBE calculation of crystalline AlSiNi4 at its relaxed geometry, from the Alexandria database.

Cell: 7.0048 3.4199 6.0701 Å, 90.00 90.00 90.00°
Space group Pmma (No. 51)
Symmetry-distinct sites (fractional):
Al  0.2500  0.0000  0.1516 x2
Si  0.2500  0.0000  0.7243 x2
Ni  0.0000  0.0000  0.5000 x2
Ni  0.0509  0.5000  0.8095 x4
Ni  0.2500  0.5000  0.4434 x2

Properties
As for the density of states at the Fermi level: 6.392 states/eV per cell.

***

Bottom line: version c, by a margin of 0.061 eV/atom.

***

Version a
The following is a GGA-PBE calculation of crystalline Al2SiNi8 at its relaxed geometry, from the Alexandria database.

Cell: 12.6738 3.6882 5.4847 Å, 90.00 104.61 90.00°
Space group C2/m (No. 12)
Symmetry-distinct sites (fractional):
Al  0.2178  0.0000  0.1541 x4
Si  0.0000  0.5000  0.5000 x2
Ni  0.0374  0.0000  0.2348 x4
Ni  0.0910  0.5000  0.9494 x4
Ni  0.1453  0.0000  0.6912 x4
Ni  0.1731  0.5000  0.4161 x4

Properties
As for the density of states at the Fermi level: 19.652 states/eV per cell.

***

Version b
The following is a GGA-PBE calculation of crystalline Al2SiNi8 at its relaxed geometry, from the Alexandria database.

Cell: 3.6000 3.6000 9.9144 Å, 90.00 90.00 90.00°
Space group P4/mmm (No. 123)
Symmetry-distinct sites (fractional):
Al  0.0000  0.0000  0.1756 x2
Si  0.0000  0.0000  0.5000 x1
Ni  0.0000  0.5000  0.0000 x2
Ni  0.0000  0.5000  0.3598 x4
Ni  0.5000  0.5000  0.1772 x2

Properties
As for the density of states at the Fermi level: 11.811 states/eV per cell.

***

Bottom line: version a, by a margin of 0.019 eV/atom.

***

Version a
The following is a GGA-PBE calculation of crystalline AlSi2Ni4 at its relaxed geometry, from the Alexandria database.

Cell: 4.7996 9.1236 3.8864 Å, 90.00 90.00 90.00°
Space group Pbam (No. 55)
Symmetry-distinct sites (fractional):
Al  0.0000  0.0000  0.0000 x2
Si  0.1524  0.3670  0.5000 x4
Ni  0.0898  0.7356  0.0000 x4
Ni  0.1652  0.1106  0.5000 x4

Properties
As for the density of states at the Fermi level: 9.017 states/eV per cell.

***

Version b
The following is a GGA-PBE calculation of crystalline AlSi2Ni4 at its relaxed geometry, from the Alexandria database.

Cell: 5.8821 3.7436 7.5650 Å, 90.00 95.55 90.00°
Space group P2_1/m (No. 11)
Symmetry-distinct sites (fractional):
Al  0.2061  0.2500  0.3089 x2
Si  0.2278  0.2500  0.8952 x2
Si  0.2731  0.7500  0.5987 x2
Ni  0.0408  0.2500  0.6121 x2
Ni  0.1583  0.7500  0.0895 x2
Ni  0.4764  0.7500  0.8805 x2
Ni  0.4972  0.2500  0.6409 x2

Properties
As for the density of states at the Fermi level: 5.390 states/eV per cell.

***

Bottom line: version b, by a margin of 0.086 eV/atom.